(1)
Density functional theory data (GGA-PBE) for crystalline Tb2Hf at its relaxed geometry.

Geometry as POSCAR:
```
Tb2Hf
1.0
2.412 -7.276 0.000
2.412 7.276 0.000
0.000 0.000 4.765
Tb Hf
4 2
direct
0.078 0.922 0.750
0.250 0.750 0.250
0.750 0.250 0.750
0.922 0.078 0.250
0.425 0.575 0.750
0.575 0.425 0.250
```

E_form = 156 meV per atom
V = 27.9 A^3/atom
SG = No. 63

=====

(2)
Density functional theory data (GGA-PBE) for crystalline TbHfTe at its relaxed geometry.

Geometry as POSCAR:
```
TbHfTe
1.0
0.000 3.456 3.456
3.456 0.000 3.456
3.456 3.456 0.000
Tb Hf Te
1 1 1
direct
0.000 0.000 0.000
0.500 0.500 0.500
0.750 0.750 0.750
```

V = 27.5 A^3/atom
SG = No. 216
Electronic total energy = -18.0 eV for the cell shown

=====

(3)
Density functional theory data (GGA-PBE) for crystalline TbHfTh at its relaxed geometry.

Geometry as POSCAR:
```
TbHfTh
1.0
0.000 3.660 3.660
3.660 0.000 3.660
3.660 3.660 0.000
Tb Hf Th
1 1 1
direct
0.000 0.000 0.000
0.250 0.250 0.250
0.500 0.500 0.500
```

E_form = 759 meV per atom
V = 32.7 A^3/atom
SG = No. 216

=====

(4)
Density functional theory data (GGA-PBE) for crystalline TbHfU at its relaxed geometry.

Geometry as POSCAR:
```
TbHfU
1.0
0.000 3.509 3.509
3.509 0.000 3.509
3.509 3.509 0.000
Tb Hf U
1 1 1
direct
0.000 0.000 0.000
0.250 0.250 0.250
0.500 0.500 0.500
```

E_form = 1174 meV per atom
V = 28.8 A^3/atom
Polymorph energy (0 for the lowest one) = 0 meV per atom
SG = No. 216

=====

(5)
Density functional theory data (GGA-PBE) for crystalline TbHfW at its relaxed geometry.

Geometry as POSCAR:
```
TbHfW
1.0
0.000 3.323 3.323
3.323 0.000 3.323
3.323 3.323 0.000
Tb Hf W
1 1 1
direct
0.000 0.000 0.000
0.500 0.500 0.500
0.750 0.750 0.750
```

E_form = 720 meV per atom
V = 24.5 A^3/atom
SG = No. 216

=====

(6)
Density functional theory data (GGA-PBE) for crystalline TbHfZn at its relaxed geometry.

Geometry as POSCAR:
```
TbHfZn
1.0
0.000 3.333 3.333
3.333 0.000 3.333
3.333 3.333 0.000
Tb Hf Zn
1 1 1
direct
0.000 0.000 0.000
0.500 0.500 0.500
0.750 0.750 0.750
```

E_form = 275 meV per atom
V = 24.7 A^3/atom
Polymorph energy (0 for the lowest one) = 0 meV per atom
SG = No. 216

=====

(7)
Density functional theory data (GGA-PBE) for crystalline HfTcTe at its relaxed geometry.

Geometry as POSCAR:
```
HfTcTe
1.0
0.000 3.167 3.167
3.167 0.000 3.167
3.167 3.167 0.000
Hf Tc Te
1 1 1
direct
0.000 0.000 0.000
0.750 0.750 0.750
0.500 0.500 0.500
```

V = 21.2 A^3/atom
Polymorph energy (0 for the lowest one) = 0 meV per atom
SG = No. 216

=====

(8)
Density functional theory data (GGA-PBE) for crystalline Hf2TcTe2 at its relaxed geometry.

Geometry as POSCAR:
```
Hf2TcTe2
1.0
-2.028 2.028 7.019
2.028 -2.028 7.019
2.028 2.028 -7.019
Hf Tc Te
2 1 2
direct
0.098 0.098 0.000
0.902 0.902 0.000
0.500 0.500 0.000
0.250 0.750 0.500
0.750 0.250 0.500
```

V = 23.1 A^3/atom
SG = No. 139
Electronic total energy = -33.6 eV for the cell shown

=====

(9)
Density functional theory data (GGA-PBE) for crystalline HfTcTe at its relaxed geometry.

Geometry as POSCAR:
```
HfTcTe
1.0
0.000 3.234 3.234
3.234 0.000 3.234
3.234 3.234 0.000
Hf Tc Te
1 1 1
direct
0.000 0.000 0.000
0.750 0.750 0.750
0.250 0.250 0.250
```

V = 22.6 A^3/atom
Polymorph energy (0 for the lowest one) = 558 meV per atom
SG = No. 216

=====

(10)
Density functional theory data (GGA-PBE) for crystalline HfTl2Tc at its relaxed geometry.

Geometry as POSCAR:
```
HfTl2Tc
1.0
0.000 3.462 3.462
3.462 0.000 3.462
3.462 3.462 0.000
Hf Tl Tc
1 2 1
direct
0.000 0.000 0.000
0.250 0.250 0.250
0.500 0.500 0.500
0.750 0.750 0.750
```

V = 20.7 A^3/atom
SG = No. 216
Electronic total energy = -22.6 eV for the cell shown

=====

(11)
Density functional theory data (GGA-PBE) for crystalline HfTlTc at its relaxed geometry.

Geometry as POSCAR:
```
HfTlTc
1.0
0.000 3.229 3.229
3.229 0.000 3.229
3.229 3.229 0.000
Hf Tl Tc
1 1 1
direct
0.000 0.000 0.000
0.500 0.500 0.500
0.250 0.250 0.250
```

V = 22.5 A^3/atom
Polymorph energy (0 for the lowest one) = 0 meV per atom
SG = No. 216

=====

(12)
Density functional theory data (GGA-PBE) for crystalline HfTlTc2 at its relaxed geometry.

Geometry as POSCAR:
```
HfTlTc2
1.0
0.000 3.292 3.292
3.292 0.000 3.292
3.292 3.292 0.000
Hf Tl Tc
1 1 2
direct
0.000 0.000 0.000
0.750 0.750 0.750
0.250 0.250 0.250
0.500 0.500 0.500
```

V = 17.8 A^3/atom
SG = No. 216
Electronic total energy = -31.3 eV for the cell shown

=====

(13)
Density functional theory data (GGA-PBE) for crystalline Hf2TlTc at its relaxed geometry.

Geometry as POSCAR:
```
Hf2TlTc
1.0
0.000 3.373 3.373
3.373 0.000 3.373
3.373 3.373 0.000
Hf Tl Tc
2 1 1
direct
0.000 0.000 0.000
0.250 0.250 0.250
0.500 0.500 0.500
0.750 0.750 0.750
```

V = 19.2 A^3/atom
SG = No. 216
Electronic total energy = -32.0 eV for the cell shown

=====

(14)
Density functional theory data (GGA-PBE) for crystalline TmHfTc at its relaxed geometry.

Geometry as POSCAR:
```
TmHfTc
1.0
0.000 3.242 3.242
3.242 0.000 3.242
3.242 3.242 0.000
Tm Hf Tc
1 1 1
direct
0.000 0.000 0.000
0.750 0.750 0.750
0.250 0.250 0.250
```

E_form = 1115 meV per atom
V = 22.7 A^3/atom
SG = No. 216

=====

(15)
Density functional theory data (GGA-PBE) for crystalline HfUTc at its relaxed geometry.

Geometry as POSCAR:
```
HfUTc
1.0
0.000 3.181 3.181
3.181 0.000 3.181
3.181 3.181 0.000
Hf U Tc
1 1 1
direct
0.000 0.000 0.000
0.250 0.250 0.250
0.750 0.750 0.750
```

E_form = 764 meV per atom
V = 21.4 A^3/atom
Polymorph energy (0 for the lowest one) = 0 meV per atom
SG = No. 216

=====

(16)
Density functional theory data (GGA-PBE) for crystalline HfUTc at its relaxed geometry.

Geometry as POSCAR:
```
HfUTc
1.0
0.000 3.169 3.169
3.169 0.000 3.169
3.169 3.169 0.000
Hf U Tc
1 1 1
direct
0.000 0.000 0.000
0.250 0.250 0.250
0.500 0.500 0.500
```

E_form = 847 meV per atom
V = 21.2 A^3/atom
Polymorph energy (0 for the lowest one) = 83 meV per atom
SG = No. 216

=====

(17)
Density functional theory data (GGA-PBE) for crystalline HfTc2W at its relaxed geometry.

Geometry as POSCAR:
```
HfTc2W
1.0
3.177 0.000 0.000
0.000 3.177 0.000
0.000 0.000 6.436
Hf Tc W
1 2 1
direct
0.000 0.000 0.000
0.500 0.500 0.262
0.500 0.500 0.738
0.000 0.000 0.500
```

E_form = -333 meV per atom
V = 16.2 A^3/atom
Polymorph energy (0 for the lowest one) = 14 meV per atom
SG = No. 123

=====

(18)
Density functional theory data (GGA-PBE) for crystalline Hf2TcW at its relaxed geometry.

Geometry as POSCAR:
```
Hf2TcW
1.0
0.000 3.282 3.282
3.282 0.000 3.282
3.282 3.282 0.000
Hf Tc W
2 1 1
direct
0.000 0.000 0.000
0.250 0.250 0.250
0.500 0.500 0.500
0.750 0.750 0.750
```

E_form = -2 meV per atom
V = 17.7 A^3/atom
SG = No. 216

=====

(19)
Density functional theory data (GGA-PBE) for crystalline HfTc2W at its relaxed geometry.

Geometry as POSCAR:
```
HfTc2W
1.0
4.508 0.000 0.000
0.000 4.508 0.000
0.000 0.000 3.184
Hf Tc W
1 2 1
direct
0.000 0.000 0.000
0.000 0.500 0.500
0.500 0.000 0.500
0.500 0.500 0.000
```

E_form = -321 meV per atom
V = 16.2 A^3/atom
Polymorph energy (0 for the lowest one) = 26 meV per atom
SG = No. 123

=====

(20)
Density functional theory data (GGA-PBE) for crystalline HfTcW at its relaxed geometry.

Geometry as POSCAR:
```
HfTcW
1.0
0.000 3.097 3.097
3.097 0.000 3.097
3.097 3.097 0.000
Hf Tc W
1 1 1
direct
0.000 0.000 0.000
0.750 0.750 0.750
0.500 0.500 0.500
```

E_form = 342 meV per atom
V = 19.8 A^3/atom
Polymorph energy (0 for the lowest one) = 0 meV per atom
SG = No. 216